Record 1
Here is a relaxed KPuC2O8 crystal from Alexandria. Energies are from PBE.

Properties
Formation energy (no corrections) (eV per formula unit): -21.08

a b c (Å): 5.1011 5.1011 8.3601
angles (deg): 95.58 95.58 62.85
Last column: nearest neighbours and their distance in Å.
Positions (direct):
K 0.0000 0.0000 0.5000  10 O 3.03-3.13
Pu 0.0000 0.0000 0.0000  2 O 1.76
C 0.5743 0.5743 0.2652  3 O 1.25-1.31
C 0.4257 0.4257 0.7348  3 O 1.25-1.31
O 0.6829 0.2627 0.8069  1 C 1.31
O 0.7996 0.7996 0.0156  1 Pu 1.76
O 0.6537 0.6537 0.3998  1 C 1.25
O 0.3463 0.3463 0.6002  1 C 1.25
O 0.2004 0.2004 0.9844  1 Pu 1.76
O 0.2627 0.6829 0.8069  1 C 1.31
O 0.7373 0.3171 0.1931  1 C 1.31
O 0.3171 0.7373 0.1931  1 C 1.31



Record 2
Here is a relaxed Pm3NiPd crystal from Alexandria. Energies are from PBE.

Properties
ΔE to the lowest computed polymorph (kJ per mole of atoms): 0.00
Formation energy (eV/atom): -0.456

a b c (Å): 7.3732 8.1806 8.8531
angles (deg): 104.53 90.00 90.00
Last column: nearest neighbours and their distance in Å.
Positions (direct):
Pm 0.1503 0.6124 0.7804  3 Pd 2.94-3.05, 2 Ni 2.94-3.04
Pm 0.8497 0.3876 0.2196  3 Pd 2.94-3.05, 2 Ni 2.94-3.04
Pm 0.6503 0.8876 0.2196  3 Pd 2.94-3.05, 2 Ni 2.94-3.04
Pm 0.3497 0.1124 0.7804  3 Pd 2.94-3.05, 2 Ni 2.94-3.04
Pm 0.6822 0.4964 0.8483  1 Ni 2.84, 3 Pd 3.03-3.11
Pm 0.3178 0.5036 0.1517  1 Ni 2.84, 3 Pd 3.03-3.11
Pm 0.1822 0.0036 0.1517  1 Ni 2.84, 3 Pd 3.03-3.11
Pm 0.8178 0.9964 0.8483  1 Ni 2.84, 3 Pd 3.03-3.11
Pm 0.9893 0.2185 0.5501  3 Ni 2.77-2.85
Pm 0.0107 0.7815 0.4499  3 Ni 2.77-2.85
Pm 0.4893 0.2815 0.4499  3 Ni 2.77-2.85
Pm 0.5107 0.7185 0.5501  3 Ni 2.77-2.85
Ni 0.8287 0.5268 0.5596  1 Ni 2.73, 6 Pm 2.77-3.04
Ni 0.1713 0.4732 0.4404  1 Ni 2.73, 6 Pm 2.77-3.04
Ni 0.3287 0.9732 0.4404  1 Ni 2.73, 6 Pm 2.77-3.04
Ni 0.6713 0.0268 0.5596  1 Ni 2.73, 6 Pm 2.77-3.04
Pd 0.0367 0.3201 0.9154  7 Pm 2.94-3.15, 1 Pd 3.00
Pd 0.9633 0.6799 0.0846  7 Pm 2.94-3.15, 1 Pd 3.00
Pd 0.5367 0.1799 0.0846  7 Pm 2.94-3.15, 1 Pd 3.00
Pd 0.4633 0.8201 0.9154  7 Pm 2.94-3.15, 1 Pd 3.00



Record 3
Here is a relaxed Na2PrRuO6 crystal from Alexandria. Energies are from PBE.

Properties
Formation energy (no corrections) (eV per formula unit): -16.21

a b c (Å): 5.7032 5.8779 8.1898
angles (deg): 90.00 90.68 90.00
Last column: nearest neighbours and their distance in Å.
Positions (direct):
Na 0.0115 0.9551 0.2520  4 O 2.40-2.54
Na 0.5115 0.5449 0.7520  4 O 2.40-2.54
Na 0.9885 0.0449 0.7480  4 O 2.40-2.54
Na 0.4885 0.4551 0.2480  4 O 2.40-2.54
Pr 0.5000 0.0000 0.0000  6 O 2.35-2.39
Pr 0.0000 0.5000 0.5000  6 O 2.35-2.39
Ru 0.5000 0.0000 0.5000  6 O 1.90-1.91
Ru 0.0000 0.5000 0.0000  6 O 1.90-1.91
O 0.2731 0.6740 0.0488  1 Ru 1.90
O 0.7731 0.8260 0.5488  1 Ru 1.90
O 0.7269 0.3260 0.9512  1 Ru 1.90
O 0.2269 0.1740 0.4512  1 Ru 1.90
O 0.3339 0.7288 0.4402  1 Ru 1.91
O 0.8339 0.7712 0.9402  1 Ru 1.91
O 0.6661 0.2712 0.5598  1 Ru 1.91
O 0.1661 0.2288 0.0598  1 Ru 1.91
O 0.8991 0.5386 0.2204  1 Ru 1.91
O 0.3991 0.9614 0.7204  1 Ru 1.91
O 0.1009 0.4614 0.7796  1 Ru 1.91
O 0.6009 0.0386 0.2796  1 Ru 1.91



Record 4
Here is a relaxed Tb9Dy2Sc crystal from Alexandria. Energies are from PBE.

Properties
Formation energy (eV/atom): 0.027

a b c (Å): 5.0021 5.0021 14.9696
angles (deg): 90.00 90.00 90.00
Last column: nearest neighbours and their distance in Å.
Positions (direct):
Tb 0.5000 0.5000 0.0000  8 Tb 3.49, 4 Sc 3.54
Tb 0.5000 0.5000 0.3309  4 Dy 3.54, 8 Tb 3.55-3.56
Tb 0.5000 0.5000 0.6691  4 Dy 3.54, 8 Tb 3.55-3.56
Tb 0.5000 0.0000 0.1623  2 Sc 3.49, 8 Tb 3.49-3.55, 2 Dy 3.56
Tb 0.5000 0.0000 0.5000  8 Tb 3.54-3.56, 4 Dy 3.55
Tb 0.5000 0.0000 0.8377  8 Tb 3.49-3.55, 2 Sc 3.49, 2 Dy 3.56
Tb 0.0000 0.5000 0.1623  8 Tb 3.49-3.55, 2 Sc 3.49, 2 Dy 3.56
Tb 0.0000 0.5000 0.5000  8 Tb 3.54-3.56, 4 Dy 3.55
Tb 0.0000 0.5000 0.8377  8 Tb 3.49-3.55, 2 Sc 3.49, 2 Dy 3.56
Dy 0.0000 0.0000 0.3314  12 Tb 3.54-3.56
Dy 0.0000 0.0000 0.6686  12 Tb 3.54-3.56
Sc 0.0000 0.0000 0.0000  12 Tb 3.49-3.54



Record 5
Here is a relaxed SiP2SCl crystal from Alexandria. Energies are from PBE.

Properties
ΔE to the lowest computed polymorph (kJ per mole of atoms): 5.28
Formation energy (no corrections) (eV per formula unit): 3.71

a b c (Å): 4.6374 4.6374 4.4011
angles (deg): 90.00 90.00 90.00
Last column: nearest neighbours and their distance in Å.
Positions (direct):
P 0.0000 0.5000 0.0000  2 Si 2.32
P 0.5000 0.0000 0.0000  2 Si 2.32
S 0.5000 0.5000 0.5000  8 P 3.20, 4 Cl 3.28
Si 0.0000 0.0000 0.0000  2 Cl 2.20, 4 P 2.32
Cl 0.0000 0.0000 0.5000  2 Si 2.20



Record 6
Here is a relaxed InAsAu2 crystal from Alexandria. Energies are from PBE.

Properties
Formation energy (eV/atom): 0.074

a b c (Å): 5.2594 5.2594 5.2594
angles (deg): 131.84 131.84 70.48
Last column: nearest neighbours and their distance in Å.
Positions (direct):
As 0.2500 0.7500 0.5000  4 In 3.03, 8 Au 3.04
Au 0.0002 0.0002 0.0000  4 Au 3.03, 4 As 3.04, 4 In 3.04
Au 0.4998 0.4998 0.0000  4 Au 3.03, 4 As 3.04, 4 In 3.04
In 0.7500 0.2500 0.5000  4 As 3.03, 8 Au 3.04



Record 7
Here is a relaxed TaAgBi2 crystal from Alexandria. Energies are from PBE.

Properties
Formation energy (eV/atom): 0.702

a b c (Å): 3.1641 3.1641 11.8174
angles (deg): 82.31 82.31 60.00
Last column: nearest neighbours and their distance in Å.
Positions (direct):
Bi 0.0861 0.0861 0.7417  1 Ta 3.02, 6 Bi 3.16, 3 Ag 3.36
Bi 0.9139 0.9139 0.2583  1 Ta 3.02, 6 Bi 3.16, 3 Ag 3.36
Ag 0.5000 0.5000 0.5000  6 Ag 3.16, 6 Bi 3.36
Ta 0.0000 0.0000 0.0000  2 Bi 3.02, 6 Ta 3.16



Record 8
Here is a relaxed PrPaPb2 crystal from Alexandria. Energies are from PBE.

Properties
ΔE to the lowest computed polymorph (kJ per mole of atoms): 0.21
Formation energy (eV/atom): -0.179

a b c (Å): 3.5357 3.5357 9.2140
angles (deg): 90.00 90.00 90.00
Last column: nearest neighbours and their distance in Å.
Positions (direct):
Pb 0.0000 0.0000 0.7563  4 Pa 3.36, 4 Pr 3.44, 4 Pb 3.54
Pb 0.0000 0.0000 0.2437  4 Pa 3.36, 4 Pr 3.44, 4 Pb 3.54
Pr 0.5000 0.5000 0.5000  8 Pb 3.44, 4 Pr 3.54
Pa 0.5000 0.5000 0.0000  8 Pb 3.36, 4 Pa 3.54



Record 9
Here is a relaxed YNi2Se crystal from Alexandria. Energies are from PBE.

Properties
Formation energy (no corrections) (eV per formula unit): -1.37

a b c (Å): 3.3540 3.3540 6.0123
angles (deg): 90.00 90.00 90.01
Last column: nearest neighbours and their distance in Å.
Positions (direct):
Ni 0.0000 0.0000 0.0468  1 Se 2.32
Ni 0.5000 0.5000 0.2437  4 Se 2.63, 4 Ni 2.65, 1 Y 2.81
Se 0.0000 0.0000 0.4334  1 Ni 2.32
Y 0.5000 0.5000 0.7761  5 Ni 2.81-2.88, 4 Se 3.14



Number 1: total DFT energy (no corrections) -7.885 eV per atom. Number 2: total DFT energy (no corrections) -5.502 eV per atom. Number 3: total DFT energy (no corrections) -6.265 eV per atom. Number 4: total DFT energy (no corrections) -4.740 eV per atom. Number 5: total DFT energy (no corrections) -3.701 eV per atom. Number 6: total DFT energy (no corrections) -3.412 eV per atom. Number 7: total DFT energy (no corrections) -4.914 eV per atom. Number 8: total DFT energy (no corrections) -5.602 eV per atom. Number 9: total DFT energy (no corrections) -5.721 eV per atom.